(1)
VASP calculation (GGA-PBE) on a relaxed K2Rb5Tl4 crystal.

extended XYZ file:
```
11
Lattice="-3.708 -6.106 -3.559 3.268 -2.323 -8.369 7.446 -8.774 -1.655" Properties=species:S:1:pos:R:3 pbc="T T T"
K 6.636 -9.027 -9.327
K 0.369 -8.176 -4.256
Rb 7.330 -9.697 -4.510
Rb -0.325 -7.505 -9.073
Rb 5.357 -5.548 -5.012
Rb 5.511 -12.692 -6.256
Rb 1.495 -4.511 -7.327
Tl 3.439 -6.969 -9.525
Tl 3.566 -10.233 -4.059
Tl 5.101 -12.878 -10.070
Tl 1.904 -4.325 -3.513
```

=====

(2)
VASP calculation (GGA-PBE) on a relaxed KRb2Tl crystal.

extended XYZ file:
```
4
Lattice="5.988 0.000 0.000 0.000 6.187 0.000 0.000 0.000 6.187" Properties=species:S:1:pos:R:3 pbc="T T T"
Tl 2.994 0.000 0.000
K 2.994 3.093 3.093
Rb 0.000 0.000 3.093
Rb 0.000 3.093 0.000
```

Energy above the most stable polymorph in this dataset in meV per atom: 85

=====

For the records above, the corresponding formation energy values read 36.8, 48.9 meV/atom.
For the records above, the corresponding size of the total moment values read 0.0, 0.0 μB/cell.
For the records above, the corresponding volume values read 646.1, 229.2 Å³ per cell.